(1)
# Ba5NaIn4, optimized geometry, DFT PBE
data_Ba5NaIn4
_chemical_formula_sum 'Ba5 Na1 In4'
_cell_length_a 4.3151
_cell_length_b 4.3151
_cell_length_c 22.1410
_cell_angle_alpha 90.00
_cell_angle_beta 90.00
_cell_angle_gamma 90.00
_space_group_name_H-M_alt 'P 4/m m m'
_space_group_IT_number 123
_space_group_name_Hall '-P 4 2'
loop_
_atom_site_label
_atom_site_type_symbol
_atom_site_fract_x
_atom_site_fract_y
_atom_site_fract_z
_atom_site_occupancy
Ba1 Ba 0.0000 0.0000 0.0000 1
Ba2 Ba 0.0000 0.0000 0.1906 1
Ba3 Ba 0.0000 0.0000 0.3760 1
Na1 Na 0.5000 0.5000 0.5000 1
In1 In 0.5000 0.5000 0.0974 1
In2 In 0.5000 0.5000 0.2856 1
# Fermi-level density of states ... 7.454 states/eV per cell
# Electronic total energy ... -2.5237 eV/atom
# Density ... 4.71 Mg/m³

(2)
# Cd3Pb5, optimized geometry, DFT PBE
data_Cd3Pb5
_chemical_formula_sum 'Cd3 Pb5'
_cell_length_a 4.8320
_cell_length_b 4.8320
_cell_length_c 9.7838
_cell_angle_alpha 90.00
_cell_angle_beta 90.00
_cell_angle_gamma 90.00
_space_group_name_H-M_alt 'P 4 m m'
_space_group_IT_number 99
_space_group_name_Hall 'P 4 -2'
loop_
_atom_site_label
_atom_site_type_symbol
_atom_site_fract_x
_atom_site_fract_y
_atom_site_fract_z
_atom_site_occupancy
Cd1 Cd 0.0000 0.0000 0.0000 1
Cd2 Cd 0.0000 0.5000 0.2242 1
Pb1 Pb 0.0000 0.0000 0.4702 1
Pb2 Pb 0.0000 0.5000 0.7373 1
Pb3 Pb 0.5000 0.5000 0.4606 1
Pb4 Pb 0.5000 0.5000 0.9927 1
# Energy above the lowest structure with this stoichiometry ... 4.9 meV/atom
# Fermi-level density of states ... 3.842 states/eV per cell
# Electronic total energy ... -2.6236 eV/atom
# Density ... 9.98 Mg/m³

(3)
# AcAl3ZnAg, optimized geometry, DFT PBE
data_AcAl3ZnAg
_chemical_formula_sum 'Ac4 Al12 Zn4 Ag4'
_cell_length_a 5.7496
_cell_length_b 16.3176
_cell_length_c 5.7481
_cell_angle_alpha 90.00
_cell_angle_beta 90.00
_cell_angle_gamma 90.00
_space_group_name_H-M_alt 'C m c m'
_space_group_IT_number 63
_space_group_name_Hall '-C 2c 2'
loop_
_atom_site_label
_atom_site_type_symbol
_atom_site_fract_x
_atom_site_fract_y
_atom_site_fract_z
_atom_site_occupancy
Ac1 Ac 0.0000 0.1869 0.2500 1
Al1 Al 0.0000 0.3939 0.7500 1
Al2 Al 0.2278 0.0000 0.0000 1
Zn1 Zn 0.0000 0.1186 0.7500 1
Ag1 Ag 0.0000 0.3861 0.2500 1
# Fermi-level density of states ... 8.540 states/eV per cell
# Electronic total energy ... -3.3323 eV/atom
# Density ... 5.93 Mg/m³

(4)
# Zn5CoNi4, optimized geometry, DFT PBE
data_Zn5CoNi4
_chemical_formula_sum 'Zn5 Co1 Ni4'
_cell_length_a 2.9264
_cell_length_b 2.9264
_cell_length_c 14.0660
_cell_angle_alpha 90.00
_cell_angle_beta 90.00
_cell_angle_gamma 90.00
_space_group_name_H-M_alt 'P 4/m m m'
_space_group_IT_number 123
_space_group_name_Hall '-P 4 2'
loop_
_atom_site_label
_atom_site_type_symbol
_atom_site_fract_x
_atom_site_fract_y
_atom_site_fract_z
_atom_site_occupancy
Zn1 Zn 0.0000 0.0000 0.0000 1
Zn2 Zn 0.0000 0.0000 0.2003 1
Zn3 Zn 0.0000 0.0000 0.4013 1
Co1 Co 0.5000 0.5000 0.5000 1
Ni1 Ni 0.5000 0.5000 0.0999 1
Ni2 Ni 0.5000 0.5000 0.2999 1
# Fermi-level density of states ... 4.616 states/eV per cell
# Electronic total energy ... -3.8481 eV/atom
# Density ... 8.56 Mg/m³

(5)
# HoTiGaPd, optimized geometry, DFT PBE
data_HoTiGaPd
_chemical_formula_sum 'Ho4 Ti4 Ga4 Pd4'
_cell_length_a 6.7399
_cell_length_b 6.7399
_cell_length_c 6.7399
_cell_angle_alpha 90.00
_cell_angle_beta 90.00
_cell_angle_gamma 90.00
_space_group_name_H-M_alt 'F -4 3 m'
_space_group_IT_number 216
_space_group_name_Hall 'F -4 2 3'
loop_
_atom_site_label
_atom_site_type_symbol
_atom_site_fract_x
_atom_site_fract_y
_atom_site_fract_z
_atom_site_occupancy
Ho1 Ho 0.0000 0.0000 0.0000 1
Ti1 Ti 0.0000 0.0000 0.5000 1
Ga1 Ga 0.2500 0.2500 0.7500 1
Pd1 Pd 0.2500 0.2500 0.2500 1
# Fermi-level density of states ... 20.379 states/eV per cell
# Electronic total energy ... -5.6443 eV/atom
# Density ... 8.44 Mg/m³

(6)
# Cd2RuWI, optimized geometry, DFT PBE
data_Cd2RuWI
_chemical_formula_sum 'Cd2 Ru1 W1 I1'
_cell_length_a 5.3112
_cell_length_b 5.3112
_cell_length_c 4.7292
_cell_angle_alpha 90.00
_cell_angle_beta 90.00
_cell_angle_gamma 90.00
_space_group_name_H-M_alt 'P 4/m m m'
_space_group_IT_number 123
_space_group_name_Hall '-P 4 2'
loop_
_atom_site_label
_atom_site_type_symbol
_atom_site_fract_x
_atom_site_fract_y
_atom_site_fract_z
_atom_site_occupancy
Cd1 Cd 0.0000 0.5000 0.0000 1
Ru1 Ru 0.0000 0.0000 0.0000 1
W1 W 0.0000 0.0000 0.5000 1
I1 I 0.5000 0.5000 0.5000 1
# Fermi-level density of states ... 3.650 states/eV per cell
# Raw formation energy ... 978 meV per atom
# Electronic total energy ... -4.1440 eV/atom
# Density ... 7.92 Mg/m³